The following is a DFT calculation (GGA-PBE) of crystalline LiTaAs2Br at its relaxed geometry.

Values from the calculation:
* crystal system: tetragonal
* calculated total energy: -5.056 eV/atom

a = 4.9779 Å, b = 4.9779 Å, c = 5.4487 Å
α = 90.00°, β = 90.00°, γ = 90.00°
Closest atoms and distances in Å follow each position.
Element x y z (fractional)
As1 0.0000 0.5000 0.0000  2 Ta 2.49
As2 0.5000 0.0000 0.0000  2 Ta 2.49
Li1 0.5000 0.5000 0.5000  4 Br 3.52, 8 As 3.69
Br1 0.0000 0.0000 0.5000  2 Ta 2.72
Ta1 0.0000 0.0000 0.0000  4 As 2.49, 2 Br 2.72

=====

The following is a DFT calculation (GGA-PBE) of crystalline LiTcAsBr2 at its relaxed geometry.

Values from the calculation:
* crystal system: tetragonal
* calculated total energy: -4.092 eV/atom

a = 5.4031 Å, b = 5.4031 Å, c = 4.7139 Å
α = 90.00°, β = 90.00°, γ = 90.00°
Closest atoms and distances in Å follow each position.
Element x y z (fractional)
As1 0.0000 0.0000 0.5000  2 Tc 2.36
Tc1 0.0000 0.0000 0.0000  2 As 2.36
Br1 0.0000 0.5000 0.0000  2 Tc 2.70
Br2 0.5000 0.0000 0.0000  2 Tc 2.70
Li1 0.5000 0.5000 0.5000  8 Br 3.59, 4 As 3.82

=====

The following is a DFT calculation (GGA-PBE) of crystalline LiTeAs2Br at its relaxed geometry.

Values from the calculation:
* crystal system: tetragonal
* calculated total energy: -2.868 eV/atom

a = 5.0139 Å, b = 5.0139 Å, c = 4.5009 Å
α = 90.00°, β = 90.00°, γ = 90.00°
Closest atoms and distances in Å follow each position.
Element x y z (fractional)
As1 0.0000 0.5000 0.0000  2 Li 2.51
As2 0.5000 0.0000 0.0000  2 Li 2.51
Te1 0.5000 0.5000 0.5000  8 As 3.37, 4 Br 3.55
Br1 0.0000 0.0000 0.5000  2 Li 2.25
Li1 0.0000 0.0000 0.0000  2 Br 2.25, 4 As 2.51

=====

The following is a DFT calculation (GGA-PBE) of crystalline LiTlAsBr2 at its relaxed geometry.

Values from the calculation:
* crystal system: triclinic
* calculated total energy: -2.948 eV/atom

a = 4.4793 Å, b = 5.9868 Å, c = 6.3135 Å
α = 81.11°, β = 88.26°, γ = 83.16°
Closest atoms and distances in Å follow each position.
Element x y z (fractional)
Li1 0.9980 0.1208 0.9949  3 Br 2.57-2.72, 1 As 2.73
Tl1 0.4749 0.6512 0.6128  2 As 2.86-2.87, 1 Br 3.15
As1 0.9662 0.7904 0.3416  1 Br 2.44, 1 Li 2.73
Br1 0.5141 0.1098 0.7912  2 Li 2.57-2.61
Br2 0.1613 0.5010 0.1249  1 As 2.44, 1 Li 2.72

=====

The following is a DFT calculation (GGA-PBE) of crystalline LiTlAsBr2 at its relaxed geometry.

Values from the calculation:
* crystal system: tetragonal
* calculated total energy: -2.731 eV/atom

a = 5.2816 Å, b = 5.2816 Å, c = 5.2950 Å
α = 90.00°, β = 90.00°, γ = 90.00°
Closest atoms and distances in Å follow each position.
Element x y z (fractional)
Tl1 0.5000 0.5000 0.5000  4 As 3.73, 8 Br 3.74
As1 0.0000 0.0000 0.5000  2 Li 2.65
Br1 0.0000 0.5000 0.0000  2 Li 2.64
Br2 0.5000 0.0000 0.0000  2 Li 2.64
Li1 0.0000 0.0000 0.0000  4 Br 2.64, 2 As 2.65

=====

The following is a DFT calculation (GGA-PBE) of crystalline LiTlAsBr2 at its relaxed geometry.

Values from the calculation:
* crystal system: triclinic
* calculated total energy: -3.080 eV/atom

a = 4.2900 Å, b = 4.2876 Å, c = 8.1789 Å
α = 81.12°, β = 80.93°, γ = 87.18°
Closest atoms and distances in Å follow each position.
Element x y z (fractional)
Li1 0.6413 0.8899 0.2552  4 Br 2.54-2.59
Tl1 0.3678 0.1653 0.7553  4 As 2.95-3.11
As1 0.8697 0.6632 0.7549  2 Br 2.72-2.73, 2 Tl 2.95-2.97
Br1 0.6366 0.4479 0.0807  2 Li 2.54-2.59, 1 As 2.73
Br2 0.0826 0.8986 0.4298  2 Li 2.55-2.59, 1 As 2.72

=====

The following is a DFT calculation (GGA-PBE) of crystalline LiTlAs2Br at its relaxed geometry.

Values from the calculation:
* crystal system: tetragonal
* calculated total energy: -2.636 eV/atom

a = 5.3286 Å, b = 5.3286 Å, c = 6.2445 Å
α = 90.00°, β = 90.00°, γ = 90.00°
Closest atoms and distances in Å follow each position.
Element x y z (fractional)
Tl1 0.0000 0.0000 0.0000  4 As 2.66
As1 0.0000 0.5000 0.0000  2 Tl 2.66
As2 0.5000 0.0000 0.0000  2 Tl 2.66
Br1 0.0000 0.0000 0.5000  2 Tl 3.12
Li1 0.5000 0.5000 0.5000  4 Br 3.77, 8 As 4.10

=====

The following is a DFT calculation (GGA-PBE) of crystalline LiTlAsBr2 at its relaxed geometry.

Values from the calculation:
* crystal system: triclinic
* calculated total energy: -2.972 eV/atom

a = 3.7047 Å, b = 5.1960 Å, c = 8.2581 Å
α = 100.28°, β = 102.83°, γ = 90.00°
Closest atoms and distances in Å follow each position.
Element x y z (fractional)
Li1 0.0038 0.6491 0.5916  3 Br 2.43-2.69
Tl1 0.7189 0.2243 0.0146  4 Br 3.30-3.34, 2 As 3.34
As1 0.3919 0.3716 0.3646  1 Br 2.53, 2 Li 2.81
Br1 0.4452 0.9430 0.4727  1 As 2.53, 2 Li 2.69
Br2 0.1606 0.6859 0.8973  1 Li 2.43

=====

ΔE_f (raw) / eV per atom: -0.109; -0.037; 0.337; -0.493; -0.276; -0.625; 0.415; -0.517